No. 1
Below is crystalline Al2ZnW at its relaxed geometry, with properties calculated at the GGA-PBE level.

The energy of formation is 77 meV per atom. The density of states at the Fermi level is 1.232 states/eV/f.u.

It has space group Cmmm (No. 65), with a = 3.486 Å, b = 4.238 Å, c = 8.521 Å, α = 90.00°, β = 90.00° and γ = 90.00°. Symmetry generates all atoms from Al at (0.000, 0.000, 0.244), Zn at (0.000, 0.500, 0.500) and W at (0.000, 0.500, 0.000).

=====

No. 2
Below is crystalline Al4ZnW at its relaxed geometry, with properties calculated at the GGA-PBE level.

The energy of formation is 145 meV per atom. The density of states at the Fermi level is 3.889 states/eV/f.u. The value obtained for the energy above the most stable polymorph in this dataset is 0.163 eV per atom.

It has space group F-43m (No. 216), with a = 7.190 Å, b = 7.190 Å, c = 7.190 Å, α = 90.00°, β = 90.00° and γ = 90.00°. Symmetry generates all atoms from Al at (0.125, 0.125, 0.125), Zn at (0.250, 0.250, 0.750) and W at (0.000, 0.000, 0.500).

=====

No. 3
Below is crystalline AlZn3W at its relaxed geometry, with properties calculated at the GGA-PBE level.

The energy of formation is 1402 meV per atom. The density of states at the Fermi level is 3.083 states/eV/f.u. The value obtained for the energy above the most stable polymorph in this dataset is 0.171 eV per atom.

It has space group Pm-3m (No. 221), with a = 4.568 Å, b = 4.568 Å, c = 4.568 Å, α = 90.00°, β = 90.00° and γ = 90.00°. Symmetry generates all atoms from Al at (0.000, 0.000, 0.000), Zn at (0.000, 0.000, 0.500) and W at (0.500, 0.500, 0.500).

=====

No. 4
Below is crystalline Al2ZnW at its relaxed geometry, with properties calculated at the GGA-PBE level.

The energy of formation is -93 meV per atom. The density of states at the Fermi level is 0.443 states/eV/f.u.

It has space group I-4m2 (No. 119), with a = 3.730 Å, b = 3.730 Å, c = 8.536 Å, α = 90.00°, β = 90.00° and γ = 90.00°. Symmetry generates all atoms from Al at (0.000, 0.000, 0.000), Al at (0.000, 0.500, 0.250), Zn at (0.000, 0.500, 0.750) and W at (0.000, 0.000, 0.500).

=====

No. 5
Below is crystalline Al2ZnW at its relaxed geometry, with properties calculated at the GGA-PBE level.

The energy of formation is 1 meV per atom. The density of states at the Fermi level is 1.662 states/eV/f.u.

It has space group C2/m (No. 12), with a = 5.535 Å, b = 7.938 Å, c = 2.783 Å, α = 90.00°, β = 90.25° and γ = 90.00°. Symmetry generates all atoms from Al at (0.250, 0.250, 0.000), Zn at (0.000, 0.000, 0.500) and W at (0.000, 0.500, 0.500).

=====

No. 6
Below is crystalline AlZn2W at its relaxed geometry, with properties calculated at the GGA-PBE level.

The energy of formation is 423 meV per atom. The density of states at the Fermi level is 3.296 states/eV/f.u.

It has space group F-43m (No. 216), with a = 6.241 Å, b = 6.241 Å, c = 6.241 Å, α = 90.00°, β = 90.00° and γ = 90.00°. Symmetry generates all atoms from Al at (0.000, 0.000, 0.000), Zn at (0.000, 0.000, 0.500), Zn at (0.250, 0.250, 0.250) and W at (0.250, 0.250, 0.750).

=====

No. 7
Below is crystalline AlZn2W at its relaxed geometry, with properties calculated at the GGA-PBE level.

The energy of formation is 164 meV per atom. The density of states at the Fermi level is 1.957 states/eV/f.u.

It has space group R-3m (No. 166, hexagonal axes), with a = 2.8538 Å, b = 2.8538 Å, c = 26.4541 Å, α = 90.00°, β = 90.00° and γ = 120.00°. Symmetry generates all atoms from Al at (0.0000, 0.0000, 0.0000), Zn at (0.0000, 0.0000, 0.2509) and W at (0.0000, 0.0000, 0.5000).

=====

No. 8
Below is crystalline AlZn2W at its relaxed geometry, with properties calculated at the GGA-PBE level.

The energy of formation is 518 meV per atom. The density of states at the Fermi level is 2.999 states/eV/f.u.

It has space group I-42d (No. 122), with a = 6.994 Å, b = 6.994 Å, c = 5.216 Å, α = 90.00°, β = 90.00° and γ = 90.00°. Symmetry generates all atoms from Al at (0.000, 0.000, 0.000), Zn at (0.236, 0.750, 0.125) and W at (0.000, 0.000, 0.500).

=====

Number 1: total moment 0.00 μB per cell. Number 2: total moment 0.00 μB per cell. Number 3: total moment 2.20 μB per cell. Number 4: total moment 0.00 μB per cell. Number 5: total moment 0.00 μB per cell. Number 6: total moment 3.38 μB per cell. Number 7: total moment 0.00 μB per cell. Number 8: total moment 0.00 μB per cell.